First-principles (PBE-GGA) data for an optimized crystal structure of TbSbC, as listed in Alexandria.

Cell lengths 3.873, 5.226, 8.165 Å; angles 121.72, 90.00, 111.75 degrees
Positions (direct):
Sb 0.671 0.341 0.567
C 0.574 0.147 0.015
C 0.426 0.853 0.985
Sb 0.329 0.659 0.433
Tb 0.080 0.160 0.810
Tb 0.920 0.840 0.190

## Properties
DOS(E_F) = 2.4 states/eV/cell
VASP energy = -6.1385 eV/atom
Symmetry = C2/m, No. 12

---

First-principles (PBE-GGA) data for an optimized crystal structure of Tb3SbC, as listed in Alexandria.

Cell lengths 4.164, 8.306, 8.276 Å; angles 78.53, 90.00, 104.52 degrees
Each line ends with the local moment (μB).
Positions (direct):
Tb 0.324 0.647 0.127  0.07
Tb 0.045 0.090 0.160  0.01
Sb 0.331 0.663 0.728  0.00
C 0.099 0.198 0.864  0.00
Tb 0.676 0.353 0.873  0.07
Tb 0.955 0.910 0.840  0.01
C 0.901 0.802 0.136  0.00
Sb 0.669 0.337 0.272  0.00
Tb 0.840 0.681 0.441  0.14
Tb 0.160 0.319 0.559  0.14

## Properties
DOS(E_F) = 8.3 states/eV/cell
VASP energy = -5.8876 eV/atom
Symmetry = C2/m, No. 12

---

First-principles (PBE-GGA) data for an optimized crystal structure of Tb4TlSbC, as listed in Alexandria.

Cell lengths 6.839, 6.835, 8.668 Å; angles 90.00, 113.24, 90.00 degrees
Positions (direct):
Tl 0.111 0.250 0.221
Tb 0.592 0.250 0.183
C 0.749 0.250 0.498
Tb 0.408 0.750 0.817
Tb 0.000 0.000 0.500
Tb 0.000 0.500 0.500
Tb 0.911 0.250 0.822
C 0.251 0.750 0.502
Tb 0.500 0.000 0.500
Sb 0.610 0.750 0.219
Tb 0.089 0.750 0.178
Sb 0.390 0.250 0.781
Tb 0.500 0.500 0.500
Tl 0.889 0.750 0.779

## Properties
DOS(E_F) = 3.2 states/eV/cell
VASP energy = -5.4872 eV/atom
Symmetry = Cmcm, No. 63